A PBEsol-optimized structure of BaTaBe, computed with SCAN.

Total magnetization: 0.00 Bohr magnetons per cell
Mass density: 8.527 Mg/m³
E_form: 1.318 eV/atom

a b c (Å): 4.8568 4.8568 3.1200
angles (deg): 90.00 90.00 120.00
Space group P-6m2 (No. 187)
Asymmetric unit:
1 Ba 0.0000 0.0000 0.0000 [1 per cell]
2 Ta 0.3333 0.6667 0.5000 [1 per cell]
3 Be 0.6667 0.3333 0.5000 [1 per cell]

---

A PBEsol-optimized structure of Cs2KCoC6N6, computed with SCAN.

Final energy: -13.859 eV/atom
Total magnetization: 0.30 Bohr magnetons per cell
Mass density: 2.578 Mg/m³

a b c (Å): 7.6108 8.0334 13.2766
angles (deg): 90.00 124.40 90.00
Space group P2_1/c (No. 14)
Asymmetric unit:
1 Cs 0.2244 0.0689 0.2480 [4 per cell]
2 K 0.0000 0.0000 0.5000 [2 per cell]
3 Co 0.5000 0.0000 0.0000 [2 per cell]
4 C 0.2697 0.1259 0.9674 [4 per cell]
5 C 0.3349 0.6905 0.4571 [4 per cell]
6 C 0.4143 0.0244 0.8398 [4 per cell]
7 N 0.1206 0.2039 0.9444 [4 per cell]
8 N 0.2274 0.6902 0.9288 [4 per cell]
9 N 0.3607 0.0429 0.7383 [4 per cell]